Material: NaYTi3
Method: DFT, PBE
State: optimized geometry

For the distance to the lowest polymorph of the same formula, the calculation gives 0.000 eV per atom. The formation energy is 1.3014 eV/atom.

The space group is Pm-3m (No. 221) and the conventional cell measures 4.869, 4.869 and 4.869 Å, with angles of 90.00, 90.00 and 90.00 degrees. The inequivalent atoms are Na at (0.000, 0.000, 0.000), Y at (0.500, 0.500, 0.500) and Ti at (0.000, 0.000, 0.500).